Density functional theory data (GGA-PBE) for RbBeAgBr4 after structural relaxation.

a = 6.547 Å, b = 7.531 Å, c = 9.256 Å
α = 90.00°, β = 107.04°, γ = 90.00°
Fractional positions:
Ag1 0.824 0.750 0.480
Ag2 0.176 0.250 0.520
Br1 0.025 0.017 0.714
Br2 0.975 0.517 0.286
Br3 0.025 0.483 0.714
Br4 0.975 0.983 0.286
Br5 0.679 0.250 0.888
Br6 0.563 0.250 0.477
Br7 0.321 0.750 0.112
Br8 0.437 0.750 0.523
Be1 0.806 0.250 0.695
Be2 0.194 0.750 0.305
Rb1 0.731 0.750 0.920
Rb2 0.269 0.250 0.080

Summary:
Magnetic moment   0.00 μB per formula unit
Energy relative to the elements, uncorrected   -1.033 eV/atom
Crystal system   monoclinic
Symmetry   P2_1/m (11)